Density functional theory data (PBE-GGA) for a relaxed ZrTi2NiIr crystal.

It has space group P4/mmm (No. 123), with a = 4.3410 Å, b = 4.3410 Å, c = 4.8071 Å, α = 90.00°, β = 90.00° and γ = 90.00°. The asymmetric unit holds Zr at (0.0000, 0.0000, 0.0000), Ti at (0.0000, 0.5000, 0.5000), Ni at (0.5000, 0.5000, 0.5000) and Ir at (0.5000, 0.5000, 0.0000).

Its formation energy is 0.221 eV per atom. Its magnetization is 0.00 μB per atom.